# Na2AcGe4 (PBE, optimized geometry)
data_Na2AcGe4
_chemical_formula_sum 'Na4 Ac2 Ge8'
_cell_length_a 6.178
_cell_length_b 6.250
_cell_length_c 9.480
_cell_angle_alpha 109.25
_cell_angle_beta 96.31
_cell_angle_gamma 90.00
_symmetry_space_group_name_H-M 'P 1'
_symmetry_Int_Tables_number 1
loop_
_symmetry_equiv_pos_as_xyz
'x,y,z'
loop_
_atom_site_label
_atom_site_fract_x
_atom_site_fract_y
_atom_site_fract_z
Ac1 0.250 0.759 0.000
Ge1 0.020 0.178 0.298
Ge2 0.780 0.803 0.148
Ge3 0.520 0.121 0.298
Na1 0.825 0.221 0.600
Ge4 0.280 0.345 0.148
Na2 0.675 0.622 0.400
Ge5 0.220 0.197 0.852
Ge6 0.480 0.879 0.702
Ge7 0.720 0.655 0.852
Na3 0.325 0.378 0.600
Ge8 0.980 0.822 0.702
Ac2 0.750 0.241 0.000
Na4 0.175 0.779 0.400
# **Density**: 5.45 g/cm³
# **DFT formation energy**: -0.359 eV per atom



# NaAc12Ge7 (PBE, optimized geometry)
data_NaAc12Ge7
_chemical_formula_sum 'Na1 Ac12 Ge7'
_cell_length_a 9.946
_cell_length_b 9.946
_cell_length_c 9.946
_cell_angle_alpha 110.78
_cell_angle_beta 110.78
_cell_angle_gamma 110.78
_symmetry_space_group_name_H-M 'P 1'
_symmetry_Int_Tables_number 1
loop_
_symmetry_equiv_pos_as_xyz
'x,y,z'
loop_
_atom_site_label
_atom_site_fract_x
_atom_site_fract_y
_atom_site_fract_z
Ac1 0.167 0.464 0.464
Ge1 0.854 0.507 0.854
Ac2 0.536 0.833 0.536
Ge2 0.146 0.146 0.493
Ge3 0.854 0.854 0.507
Ge4 0.493 0.146 0.146
Ac3 0.738 0.262 0.000
Ac4 0.738 0.000 0.262
Ac5 0.262 0.738 0.000
Ge5 0.146 0.493 0.146
Ac6 0.536 0.536 0.833
Ac7 0.000 0.738 0.262
Ge6 0.500 0.500 0.500
Na1 0.000 0.000 0.000
Ac8 0.000 0.262 0.738
Ac9 0.464 0.464 0.167
Ac10 0.262 0.000 0.738
Ac11 0.833 0.536 0.536
Ge7 0.507 0.854 0.854
Ac12 0.464 0.167 0.464
# **Density**: 7.53 g/cm³
# **DFT formation energy**: -0.388 eV per atom



# NaAc2Ge3 (PBE, optimized geometry)
data_NaAc2Ge3
_chemical_formula_sum 'Na2 Ac4 Ge6'
_cell_length_a 6.425
_cell_length_b 6.425
_cell_length_c 9.056
_cell_angle_alpha 109.91
_cell_angle_beta 109.91
_cell_angle_gamma 92.30
_symmetry_space_group_name_H-M 'P 1'
_symmetry_Int_Tables_number 1
loop_
_symmetry_equiv_pos_as_xyz
'x,y,z'
loop_
_atom_site_label
_atom_site_fract_x
_atom_site_fract_y
_atom_site_fract_z
Ge1 0.675 0.163 0.838
Ac1 0.239 0.239 0.000
Na1 0.336 0.336 0.672
Ge2 0.837 0.325 0.162
Ac2 0.761 0.761 0.000
Ge3 0.163 0.675 0.838
Ge4 0.163 0.163 0.325
Ac3 0.250 0.750 0.500
Ge5 0.325 0.837 0.162
Ge6 0.837 0.837 0.675
Ac4 0.750 0.250 0.500
Na2 0.664 0.664 0.328
# **Density**: 7.09 g/cm³
# **DFT formation energy**: -0.476 eV per atom



# NaAc4Ge2 (PBE, optimized geometry)
data_NaAc4Ge2
_chemical_formula_sum 'Na2 Ac8 Ge4'
_cell_length_a 8.247
_cell_length_b 8.240
_cell_length_c 10.684
_cell_angle_alpha 127.16
_cell_angle_beta 106.29
_cell_angle_gamma 81.61
_symmetry_space_group_name_H-M 'P 1'
_symmetry_Int_Tables_number 1
loop_
_symmetry_equiv_pos_as_xyz
'x,y,z'
loop_
_atom_site_label
_atom_site_fract_x
_atom_site_fract_y
_atom_site_fract_z
Ac1 0.468 0.273 0.396
Ac2 0.386 0.124 0.750
Ge1 0.607 0.384 0.743
Ac3 0.837 0.673 0.764
Ac4 0.877 0.071 0.603
Na1 0.110 0.609 0.500
Ac5 0.390 0.746 0.925
Ge2 0.641 0.863 0.256
Ac6 0.374 0.638 0.252
Ge3 0.567 0.191 0.080
Ge4 0.111 0.488 0.921
Na2 0.152 0.153 0.000
Ac7 0.821 0.465 0.075
Ac8 0.909 0.072 0.235
# **Density**: 6.44 g/cm³
# **DFT formation energy**: -0.244 eV per atom



# NaAcGe (PBE, optimized geometry)
data_NaAcGe
_chemical_formula_sum 'Na2 Ac2 Ge2'
_cell_length_a 4.724
_cell_length_b 6.195
_cell_length_c 7.525
_cell_angle_alpha 72.65
_cell_angle_beta 71.68
_cell_angle_gamma 67.61
_symmetry_space_group_name_H-M 'P 1'
_symmetry_Int_Tables_number 1
loop_
_symmetry_equiv_pos_as_xyz
'x,y,z'
loop_
_atom_site_label
_atom_site_fract_x
_atom_site_fract_y
_atom_site_fract_z
Ac1 0.642 0.355 0.238
Ge1 0.937 0.800 0.204
Ac2 0.494 0.987 0.904
Na1 0.877 0.471 0.653
Na2 0.259 0.871 0.489
Ge2 0.199 0.541 0.938
# **Density**: 5.66 g/cm³
# **DFT formation energy**: -0.341 eV per atom
# **Excess energy over the best structure of this formula in the dataset**: 2.64 kcal/mol of atoms



# NaAc2Ge9 (PBE, optimized geometry)
data_NaAc2Ge9
_chemical_formula_sum 'Na1 Ac2 Ge9'
_cell_length_a 6.148
_cell_length_b 6.148
_cell_length_c 9.459
_cell_angle_alpha 71.03
_cell_angle_beta 71.03
_cell_angle_gamma 60.00
_symmetry_space_group_name_H-M 'P 1'
_symmetry_Int_Tables_number 1
loop_
_symmetry_equiv_pos_as_xyz
'x,y,z'
loop_
_atom_site_label
_atom_site_fract_x
_atom_site_fract_y
_atom_site_fract_z
Ge1 0.059 0.596 0.748
Ge2 0.404 0.941 0.252
Ge3 0.347 0.347 0.960
Ge4 0.404 0.404 0.252
Ge5 0.596 0.596 0.748
Na1 0.000 0.000 0.000
Ge6 0.941 0.404 0.252
Ac1 0.138 0.138 0.586
Ge7 0.500 0.500 0.500
Ac2 0.862 0.862 0.414
Ge8 0.596 0.059 0.748
Ge9 0.653 0.653 0.040
# **Density**: 6.54 g/cm³
# **DFT formation energy**: -0.120 eV per atom



Q: Which of these has the lowest density?
A: Na2AcGe4



Q: Which value of density does entry 3 give?
A: 7.09 g/cm³



Q: density of number 1 (Na2AcGe4)?
A: 5.45 g/cm³



Q: The lowest DFT formation energy belongs to which entry?
A: NaAc2Ge3